The following is a DFT calculation (GGA-PBE) of crystalline LaSmMgHg at its relaxed geometry.

Unit cell a=3.8803 b=3.8803 c=7.7255 alpha=90.00 beta=90.00 gamma=90.00
Fractional coordinates of all 4 atoms:
Sm: 0.0000 0.0000 0.3610
Hg: 0.5000 0.5000 0.5905
La: 0.0000 0.0000 0.8565
Mg: 0.5000 0.5000 0.1199

Properties
For the formation energy, the calculation gives -1.2 eV/f.u. Its total moment is 0.00 μB per formula unit. As for the relative energy among the computed polymorphs: 0.00 eV/f.u. Its volume is 116.32 Å³/cell. The electronic total energy is -12.7 eV/cell. The density of states at the Fermi level comes out at 5.16 states/eV per cell.